ZrZn2Tc GGA-PBE optimized geometry; E above lowest polymorph = 144 meV/atom; D(E_F) = 0.69 states/eV/atom; DFT formation energy = -0.08 eV/atom; total magnetization = 0.000 μB/f.u.; space group = Pm, No. 6
1.0
4.359 0.000 0.000
0.000 2.875 0.015
0.000 0.626 5.215
Zr Zn Tc
1 2 1
Cartesian
0.000 1.834 2.571 Zr
2.179 0.435 1.282 Zn
0.000 0.977 5.163 Zn
2.179 2.631 4.043 Tc



Sc2GaCoPt GGA-PBE optimized geometry; D(E_F) = 0.77 states/eV/atom; DFT formation energy = -0.13 eV/atom; total magnetization = 0.360 μB/f.u.; space group = P4/mmm, No. 123
1.0
4.611 0.000 0.000
0.000 4.683 0.000
0.000 0.000 4.611
Pt Co Ga Sc
1 1 1 2
Cartesian
0.000 2.341 0.000 Pt
0.000 0.000 0.000 Co
2.306 2.341 2.306 Ga
2.306 0.000 0.000 Sc
0.000 0.000 2.306 Sc



Ti3Zn3Cu2 GGA-PBE optimized geometry; E above lowest polymorph = 77 meV/atom; D(E_F) = 1.01 states/eV/atom; DFT formation energy = -0.07 eV/atom; total magnetization = 2.217 μB/f.u.; space group = P-62m, No. 189
1.0
-0.142 -2.875 1.107
6.423 -1.027 -1.844
-1.404 2.437 6.149
Cu Ti Zn
2 3 3
Cartesian
3.814 0.128 0.820 Cu
1.205 1.282 3.484 Cu
3.729 -2.045 -0.537 Ti
1.980 -0.862 2.312 Ti
-0.901 0.004 4.190 Ti
1.500 -0.240 -0.431 Zn
3.847 1.081 3.299 Zn
-0.328 0.569 1.436 Zn



LiMg2Cd GGA-PBE optimized geometry; D(E_F) = 0.41 states/eV/atom; DFT formation energy = 0.10 eV/atom; total magnetization = 0.000 μB/f.u.; space group = I-42d, No. 122
1.0
7.917 0.000 0.000
0.000 7.917 0.000
3.958 3.958 2.953
Li Cd Mg
2 2 4
Cartesian
3.958 7.917 1.477 Li
3.958 3.958 0.000 Li
0.000 0.000 0.000 Cd
7.917 3.958 1.477 Cd
5.945 1.979 0.738 Mg
9.896 9.903 2.215 Mg
1.972 5.938 0.738 Mg
5.938 5.930 2.215 Mg



Hf6InHg GGA-PBE optimized geometry; E above lowest polymorph = 0 meV/atom; D(E_F) = 0.77 states/eV/atom; DFT formation energy = -0.10 eV/atom; total magnetization = 0.000 μB/f.u.; space group = P4/mmm, No. 123
1.0
-2.638 3.492 0.557
-3.201 -2.064 -2.226
-3.003 -3.472 7.536
Hf Hg In
6 1 1
Cartesian
-4.422 -1.022 2.933 Hf
-3.569 -0.855 5.925 Hf
-2.072 0.875 2.168 Hf
-3.851 -3.633 4.533 Hf
-2.354 -1.902 0.777 Hf
-2.920 0.714 -0.835 Hf
-1.502 -1.736 3.768 Hg
0.000 0.000 0.000 In



NaLi2Lu GGA-PBE optimized geometry; E above lowest polymorph = 56 meV/atom; D(E_F) = 0.80 states/eV/atom; DFT formation energy = 0.23 eV/atom; total magnetization = 0.000 μB/f.u.; space group = R-3m, No. 166
1.0
3.252 0.000 0.000
1.626 2.816 0.000
1.626 0.939 11.919
Li Lu Na
2 1 1
Cartesian
1.626 0.939 8.878 Li
4.878 2.816 3.040 Li
0.000 0.000 0.000 Lu
3.252 1.878 5.959 Na



TlCu6Cl12 GGA-PBE optimized geometry; formation energy from raw total energies = -0.547 eV/atom; D(E_F) = 0.43 states/eV/atom; total magnetization = 5.045 μB/f.u.; space group = R-3, No. 148
1.0
-7.061 -1.293 6.098
5.353 -7.610 -1.462
4.819 7.998 1.228
Cl Cu Tl
12 6 1
Cartesian
-4.535 1.170 6.356 Cl
7.645 -2.075 -0.492 Cl
-0.895 -0.034 5.532 Cl
4.155 2.023 3.170 Cl
0.175 6.342 4.769 Cl
-3.085 -5.644 4.650 Cl
6.196 4.740 1.214 Cl
4.006 -0.871 0.332 Cl
2.913 -3.784 2.933 Cl
-1.044 -2.927 2.694 Cl
0.198 2.879 2.930 Cl
2.935 -7.247 1.095 Cl
-0.046 -4.662 3.757 Cu
3.157 3.757 2.107 Cu
-0.358 3.087 5.117 Cu
3.468 -3.992 0.747 Cu
5.831 -0.004 1.357 Cu
-2.720 -0.901 4.507 Cu
0.000 0.000 0.000 Tl



Na3Tl3SbSe8 GGA-PBE optimized geometry; formation energy from raw total energies = -0.439 eV/atom; D(E_F) = 0.27 states/eV/atom; total magnetization = 0.000 μB/f.u.; space group = C2/m, No. 12
1.0
-6.287 -0.735 5.172
6.903 -4.193 1.337
0.060 8.511 1.281
Se Na Tl Sb
8 3 3 1
Cartesian
-1.278 3.590 5.416 Se
-1.457 2.117 1.616 Se
1.954 -0.007 2.374 Se
-1.131 -0.459 5.020 Se
2.132 1.466 6.173 Se
5.415 1.850 3.473 Se
-4.740 1.734 4.317 Se
1.807 4.042 2.770 Se
0.000 0.000 0.000 Na
3.452 -2.097 0.668 Na
0.308 -2.464 3.254 Na
-3.114 3.888 3.227 Tl
3.481 2.159 1.309 Tl
0.338 1.792 3.895 Tl
0.030 4.255 0.641 Sb